The following is a DFT calculation (GGA+U) of a geometry-optimized K3NdV2O8 structure.

Cell lengths 6.071, 7.676, 10.047 Å; angles 89.27, 90.00, 90.00 degrees
Sites, in units of the cell vectors:
O  0.987  0.663  0.670
O  0.250  0.037  0.410
O  0.750  0.963  0.590
O  0.014  0.740  0.169
O  0.513  0.663  0.670
O  0.486  0.740  0.169
O  0.750  0.667  0.424
O  0.986  0.260  0.831
O  0.750  0.203  0.078
O  0.514  0.260  0.831
O  0.250  0.333  0.576
O  0.750  0.527  0.966
O  0.250  0.473  0.034
O  0.250  0.797  0.922
O  0.487  0.337  0.330
O  0.013  0.337  0.330
K  0.750  0.309  0.581
K  0.750  0.858  0.919
K  0.250  0.142  0.081
K  0.750  0.000  0.307
K  0.250  0.691  0.419
K  0.250  0.000  0.693
V  0.250  0.260  0.412
V  0.750  0.310  0.924
V  0.250  0.690  0.076
V  0.750  0.740  0.588
Nd  0.250  0.496  0.788
Nd  0.750  0.504  0.212

Computed properties:
SG: No. 11
Energy (eV/atom): -6.781